A plane-wave DFT calculation with GGA-PBE was carried out for Ba2SiHRu after structural relaxation.

Summary:
The value obtained for the total energy is -21.7 eV per formula unit.

Unit cell a=5.9516 b=5.9516 c=4.5523 alpha=90.00 beta=90.00 gamma=90.00
Space group P4/mmm (No. 123)
Unique sites:
1 Ba 0.0000 0.5000 0.0000 x2
2 Si 0.0000 0.0000 0.5000 x1
3 H 0.5000 0.5000 0.5000 x1
4 Ru 0.0000 0.0000 0.0000 x1